# 1
A geometry-optimized SiMoAs3 structure, computed with PBE.

Calculated values
- E above lowest polymorph: 0.0 meV per atom
- Energy relative to the elements, uncorrected: 765 meV/atom
- Mass density: 4.979 Mg/m³

Unit cell a=4.882 b=4.882 c=4.882 alpha=90.00 beta=90.00 gamma=90.00
Atoms (fractional coordinates):
Si: 0.000 0.000 0.000
Mo: 0.500 0.500 0.500
As: 0.000 0.500 0.500
As: 0.500 0.000 0.500
As: 0.500 0.500 0.000

# 2
A geometry-optimized SiMoAs2 structure, computed with PBE.

Calculated values
- Energy relative to the elements, uncorrected: 77 meV/atom
- Mass density: 6.339 Mg/m³

Unit cell a=9.381 b=9.381 c=9.381 alpha=18.39 beta=18.39 gamma=18.39
Atoms (fractional coordinates):
Si: 0.000 0.000 0.000
Mo: 0.264 0.264 0.264
As: 0.527 0.527 0.527
As: 0.742 0.742 0.742

# 3
A geometry-optimized SiMo2As structure, computed with PBE.

Calculated values
- E above lowest polymorph: 423.7 meV per atom
- Energy relative to the elements, uncorrected: 161 meV/atom
- Mass density: 7.961 Mg/m³

Unit cell a=2.897 b=2.897 c=7.853 alpha=90.00 beta=90.00 gamma=111.02
Atoms (fractional coordinates):
Si: 0.000 0.000 0.000
Mo: 0.500 0.500 0.242
Mo: 0.500 0.500 0.758
As: 0.000 0.000 0.500

# 4
A geometry-optimized SiMo2As structure, computed with PBE.

Calculated values
- E above lowest polymorph: 186.3 meV per atom
- Energy relative to the elements, uncorrected: -77 meV/atom
- Mass density: 8.266 Mg/m³

Unit cell a=3.097 b=3.078 c=6.215 alpha=90.00 beta=90.13 gamma=90.00
Atoms (fractional coordinates):
Si: 0.000 0.000 0.000
Mo: 0.499 0.500 0.237
Mo: 0.501 0.500 0.763
As: 0.000 0.000 0.500

Copy entry 3 word for word.
A geometry-optimized SiMo2As structure, computed with PBE.

Calculated values
- E above lowest polymorph: 423.7 meV per atom
- Energy relative to the elements, uncorrected: 161 meV/atom
- Mass density: 7.961 Mg/m³

Unit cell a=2.897 b=2.897 c=7.853 alpha=90.00 beta=90.00 gamma=111.02
Atoms (fractional coordinates):
Si: 0.000 0.000 0.000
Mo: 0.500 0.500 0.242
Mo: 0.500 0.500 0.758
As: 0.000 0.000 0.500

Among the records above, which one has the highest energy relative to the elements, uncorrected? SiMoAs3

The lowest mass density belongs to which entry? SiMoAs3